No. 1
A plane-wave DFT calculation with PBE with a Hubbard U was carried out for a geometry-optimized Sr2CoSnO6 structure.

Calculated values
Calculated density   5.816 g/cm³
E   -6.094 eV per atom
SG   P4/mmm
Crystal system   tetragonal
DOS at the Fermi energy   1.2 states/eV/f.u.

The structure in extended XYZ format:
```
10
Lattice="4.0418 0.0000 0.0000 0.0000 4.0418 0.0000 0.0000 0.0000 7.8454" Properties=species:S:1:pos:R:3 pbc="T T T"
Sr 0.0000 0.0000 1.7715
Sr 0.0000 0.0000 6.0739
Co 2.0209 2.0209 0.0000
Sn 2.0209 2.0209 3.9227
O 0.0000 2.0209 0.0000
O 0.0000 2.0209 3.9227
O 2.0209 0.0000 0.0000
O 2.0209 0.0000 3.9227
O 2.0209 2.0209 1.8336
O 2.0209 2.0209 6.0119
```

---

No. 2
A plane-wave DFT calculation with PBE with a Hubbard U was carried out for a geometry-optimized CsGaCo2F8 structure.

Calculated values
Calculated density   3.911 g/cm³
E   -4.775 eV per atom
SG   P-1
Crystal system   triclinic
DOS at the Fermi energy   0.0 states/eV/f.u.

The structure in extended XYZ format:
```
12
Lattice="4.7243 0.0000 0.0000 -0.0727 4.7462 0.0000 -0.4212 -0.7400 8.9464" Properties=species:S:1:pos:R:3 pbc="T T T"
Cs 0.0000 0.0000 0.0000
Ga -0.2106 -0.3700 4.4732
Co 2.0032 2.0194 6.0255
Co 2.2272 1.9867 2.9209
F 0.6208 0.6838 3.1407
F 0.6445 0.5471 5.9295
F 1.1955 3.0560 4.4048
F 1.8117 2.5791 7.7830
F 2.4187 1.4270 1.1635
F 3.0349 0.9502 4.5416
F 3.5859 3.4591 3.0169
F 3.6096 3.3224 5.8058
```